No. 1
This record from the Alexandria database describes crystalline SmY2Sb2 at its relaxed geometry. The functional is PBE.

Values from the calculation:
For the magnetization, the calculation gives 0.0 μB/f.u. The space-group type is C2/c (15). Its electronic total energy is -29.270 eV per formula unit.

```
data_SmY2Sb2
_chemical_formula_sum 'Sm2 Y4 Sb4'
_symmetry_space_group_name_H-M 'P 1'
_symmetry_Int_Tables_number 1
_symmetry_space_group_name_Hall 'P 1'
_cell_length_a 7.991
_cell_length_b 7.991
_cell_length_c 6.024
_cell_angle_alpha 111.18
_cell_angle_beta 111.18
_cell_angle_gamma 97.38
loop_
_atom_site_label
_atom_site_fract_x
_atom_site_fract_y
_atom_site_fract_z
_atom_site_occupancy
Sm1 0.101 0.899 0.250 1
Sm2 0.899 0.101 0.750 1
Y1 0.777 0.582 0.478 1
Y2 0.418 0.223 0.022 1
Y3 0.582 0.777 0.978 1
Y4 0.223 0.418 0.522 1
Sb1 0.374 0.626 0.250 1
Sb2 0.825 0.175 0.250 1
Sb3 0.175 0.825 0.750 1
Sb4 0.626 0.374 0.750 1
```



No. 2
This record from the Alexandria database describes crystalline SmY2Sb3 at its relaxed geometry. The functional is PBE.

Values from the calculation:
For the magnetization, the calculation gives 0.0 μB/f.u. The space-group type is Immm (71). Its electronic total energy is -37.020 eV per formula unit.

```
data_SmY2Sb3
_chemical_formula_sum 'Sm1 Y2 Sb3'
_symmetry_space_group_name_H-M 'P 1'
_symmetry_Int_Tables_number 1
_symmetry_space_group_name_Hall 'P 1'
_cell_length_a 4.419
_cell_length_b 6.249
_cell_length_c 7.652
_cell_angle_alpha 114.10
_cell_angle_beta 106.78
_cell_angle_gamma 90.00
loop_
_atom_site_label
_atom_site_fract_x
_atom_site_fract_y
_atom_site_fract_z
_atom_site_occupancy
Sm1 0.500 0.500 0.500 1
Y1 0.834 0.834 0.168 1
Y2 0.166 0.166 0.832 1
Sb1 0.831 0.331 0.161 1
Sb2 0.169 0.669 0.839 1
Sb3 0.500 0.000 0.500 1
```



No. 3
This record from the Alexandria database describes crystalline Sm5Y2Sb5 at its relaxed geometry. The functional is PBE.

Values from the calculation:
For the magnetization, the calculation gives 0.0 μB/f.u. The space-group type is C2/m (12). Its electronic total energy is -68.035 eV per formula unit.

```
data_Sm5Y2Sb5
_chemical_formula_sum 'Sm5 Y2 Sb5'
_symmetry_space_group_name_H-M 'P 1'
_symmetry_Int_Tables_number 1
_symmetry_space_group_name_Hall 'P 1'
_cell_length_a 4.414
_cell_length_b 7.564
_cell_length_c 12.768
_cell_angle_alpha 108.87
_cell_angle_beta 90.00
_cell_angle_gamma 106.96
loop_
_atom_site_label
_atom_site_fract_x
_atom_site_fract_y
_atom_site_fract_z
_atom_site_occupancy
Sm1 0.500 0.000 0.500 1
Sm2 0.660 0.320 0.038 1
Sm3 0.726 0.452 0.346 1
Sm4 0.274 0.548 0.654 1
Sm5 0.340 0.680 0.962 1
Y1 0.045 0.089 0.788 1
Y2 0.955 0.911 0.212 1
Sb1 0.118 0.235 0.428 1
Sb2 0.692 0.384 0.790 1
Sb3 0.308 0.616 0.210 1
Sb4 0.882 0.765 0.572 1
Sb5 0.000 0.000 0.000 1
```



No. 4
This record from the Alexandria database describes crystalline Sm3YSb4 at its relaxed geometry. The functional is PBE.

Values from the calculation:
For the magnetization, the calculation gives 0.0 μB/f.u. The space-group type is Pm-3m (221). Its electronic total energy is -46.524 eV per formula unit.

```
data_Sm3YSb4
_chemical_formula_sum 'Sm3 Y1 Sb4'
_symmetry_space_group_name_H-M 'P 1'
_symmetry_Int_Tables_number 1
_symmetry_space_group_name_Hall 'P 1'
_cell_length_a 6.293
_cell_length_b 6.293
_cell_length_c 6.293
_cell_angle_alpha 90.00
_cell_angle_beta 90.00
_cell_angle_gamma 90.00
loop_
_atom_site_label
_atom_site_fract_x
_atom_site_fract_y
_atom_site_fract_z
_atom_site_occupancy
Sm1 0.000 0.500 0.500 1
Sm2 0.500 0.000 0.500 1
Sm3 0.500 0.500 0.000 1
Y1 0.000 0.000 0.000 1
Sb1 0.500 0.000 0.000 1
Sb2 0.000 0.500 0.000 1
Sb3 0.000 0.000 0.500 1
Sb4 0.500 0.500 0.500 1
```



No. 5
This record from the Alexandria database describes crystalline Sm4YSb4 at its relaxed geometry. The functional is PBE.

Values from the calculation:
For the magnetization, the calculation gives 2.7 μB/f.u. The space-group type is I-42m (121). Its electronic total energy is -47.109 eV per formula unit.

```
data_Sm4YSb4
_chemical_formula_sum 'Sm4 Y1 Sb4'
_symmetry_space_group_name_H-M 'P 1'
_symmetry_Int_Tables_number 1
_symmetry_space_group_name_Hall 'P 1'
_cell_length_a 7.365
_cell_length_b 7.365
_cell_length_c 8.548
_cell_angle_alpha 115.52
_cell_angle_beta 115.52
_cell_angle_gamma 90.00
loop_
_atom_site_label
_atom_site_fract_x
_atom_site_fract_y
_atom_site_fract_z
_atom_site_occupancy
Sm1 0.500 0.000 0.000 1
Sm2 0.000 0.500 0.000 1
Sm3 0.275 0.275 0.550 1
Sm4 0.725 0.725 0.450 1
Y1 0.000 0.000 0.000 1
Sb1 0.636 0.636 0.742 1
Sb2 0.364 0.893 0.258 1
Sb3 0.107 0.107 0.742 1
Sb4 0.893 0.364 0.258 1
```



No. 6
This record from the Alexandria database describes crystalline Sm3YSb2 at its relaxed geometry. The functional is PBE.

Values from the calculation:
For the magnetization, the calculation gives 0.1 μB/f.u. The space-group type is C2/m (12). The value obtained for the distance to the lowest polymorph of the same formula is 119 meV per atom.

```
data_Sm3YSb2
_chemical_formula_sum 'Sm6 Y2 Sb4'
_symmetry_space_group_name_H-M 'P 1'
_symmetry_Int_Tables_number 1
_symmetry_space_group_name_Hall 'P 1'
_cell_length_a 4.382
_cell_length_b 10.438
_cell_length_c 9.974
_cell_angle_alpha 124.77
_cell_angle_beta 90.00
_cell_angle_gamma 102.12
loop_
_atom_site_label
_atom_site_fract_x
_atom_site_fract_y
_atom_site_fract_z
_atom_site_occupancy
Sm1 0.312 0.623 0.517 1
Sm2 0.946 0.892 0.568 1
Sm3 0.649 0.298 0.823 1
Sm4 0.351 0.702 0.177 1
Sm5 0.054 0.108 0.432 1
Sm6 0.688 0.377 0.483 1
Y1 0.890 0.780 0.896 1
Y2 0.110 0.220 0.104 1
Sb1 0.493 0.986 0.833 1
Sb2 0.507 0.014 0.167 1
Sb3 0.750 0.500 0.225 1
Sb4 0.250 0.500 0.775 1
```



No. 7
This record from the Alexandria database describes crystalline SmYSb at its relaxed geometry. The functional is PBE.

Values from the calculation:
For the magnetization, the calculation gives 0.0 μB/f.u. The space-group type is C2/m (12). Its electronic total energy is -15.371 eV per formula unit.

```
data_SmYSb
_chemical_formula_sum 'Sm2 Y2 Sb2'
_symmetry_space_group_name_H-M 'P 1'
_symmetry_Int_Tables_number 1
_symmetry_space_group_name_Hall 'P 1'
_cell_length_a 4.235
_cell_length_b 6.574
_cell_length_c 13.875
_cell_angle_alpha 135.74
_cell_angle_beta 90.00
_cell_angle_gamma 108.79
loop_
_atom_site_label
_atom_site_fract_x
_atom_site_fract_y
_atom_site_fract_z
_atom_site_occupancy
Sm1 0.647 0.294 0.343 1
Sm2 0.353 0.706 0.657 1
Y1 0.894 0.788 0.320 1
Y2 0.106 0.212 0.680 1
Sb1 0.875 0.750 0.839 1
Sb2 0.125 0.250 0.161 1
```



No. 8
This record from the Alexandria database describes crystalline SmY3Sb4 at its relaxed geometry. The functional is PBE.

Values from the calculation:
For the magnetization, the calculation gives 0.0 μB/f.u. The space-group type is Pm-3m (221). Its electronic total energy is -49.964 eV per formula unit.

```
data_SmY3Sb4
_chemical_formula_sum 'Sm1 Y3 Sb4'
_symmetry_space_group_name_H-M 'P 1'
_symmetry_Int_Tables_number 1
_symmetry_space_group_name_Hall 'P 1'
_cell_length_a 6.235
_cell_length_b 6.235
_cell_length_c 6.235
_cell_angle_alpha 90.00
_cell_angle_beta 90.00
_cell_angle_gamma 90.00
loop_
_atom_site_label
_atom_site_fract_x
_atom_site_fract_y
_atom_site_fract_z
_atom_site_occupancy
Sm1 0.000 0.000 0.000 1
Y1 0.000 0.500 0.500 1
Y2 0.500 0.000 0.500 1
Y3 0.500 0.500 0.000 1
Sb1 0.500 0.000 0.000 1
Sb2 0.000 0.500 0.000 1
Sb3 0.000 0.000 0.500 1
Sb4 0.500 0.500 0.500 1
```



No. 9
This record from the Alexandria database describes crystalline Sm2Y2Sb3 at its relaxed geometry. The functional is PBE.

Values from the calculation:
For the magnetization, the calculation gives 0.0 μB/f.u. The space-group type is I2_13 (199). The value obtained for the distance to the lowest polymorph of the same formula is 0 meV per atom.

```
data_Sm2Y2Sb3
_chemical_formula_sum 'Sm4 Y4 Sb6'
_symmetry_space_group_name_H-M 'P 1'
_symmetry_Int_Tables_number 1
_symmetry_space_group_name_Hall 'P 1'
_cell_length_a 8.057
_cell_length_b 8.057
_cell_length_c 8.057
_cell_angle_alpha 109.47
_cell_angle_beta 109.47
_cell_angle_gamma 109.47
loop_
_atom_site_label
_atom_site_fract_x
_atom_site_fract_y
_atom_site_fract_z
_atom_site_occupancy
Sm1 0.500 0.354 0.500 1
Sm2 0.000 0.000 0.354 1
Sm3 0.646 0.146 0.146 1
Sm4 0.854 0.500 0.000 1
Y1 0.000 0.000 0.860 1
Y2 0.500 0.860 0.500 1
Y3 0.140 0.640 0.640 1
Y4 0.360 0.500 0.000 1
Sb1 0.750 0.629 0.379 1
Sb2 0.250 0.871 0.121 1
Sb3 0.621 0.750 0.871 1
Sb4 0.879 0.250 0.629 1
Sb5 0.371 0.121 0.750 1
Sb6 0.129 0.379 0.250 1
```



No. 10
This record from the Alexandria database describes crystalline SmY3Sb2 at its relaxed geometry. The functional is PBE.

Values from the calculation:
For the magnetization, the calculation gives 0.0 μB/f.u. The space-group type is Ibam (72). Its electronic total energy is -35.951 eV per formula unit.

```
data_SmY3Sb2
_chemical_formula_sum 'Sm2 Y6 Sb4'
_symmetry_space_group_name_H-M 'P 1'
_symmetry_Int_Tables_number 1
_symmetry_space_group_name_Hall 'P 1'
_cell_length_a 7.058
_cell_length_b 7.555
_cell_length_c 8.920
_cell_angle_alpha 115.05
_cell_angle_beta 113.31
_cell_angle_gamma 90.00
loop_
_atom_site_label
_atom_site_fract_x
_atom_site_fract_y
_atom_site_fract_z
_atom_site_occupancy
Sm1 0.000 0.500 0.000 1
Sm2 0.000 0.000 0.000 1
Y1 0.500 0.250 0.000 1
Y2 0.500 0.750 0.000 1
Y3 0.794 0.044 0.589 1
Y4 0.206 0.456 0.411 1
Y5 0.206 0.956 0.411 1
Y6 0.794 0.544 0.589 1
Sb1 0.521 0.352 0.703 1
Sb2 0.818 0.148 0.297 1
Sb3 0.182 0.852 0.703 1
Sb4 0.479 0.648 0.297 1
```



No. 11
This record from the Alexandria database describes crystalline Sm3YSb2 at its relaxed geometry. The functional is PBE.

Values from the calculation:
For the magnetization, the calculation gives 0.0 μB/f.u. The space-group type is P-4m2 (115). The value obtained for the distance to the lowest polymorph of the same formula is 0 meV per atom.

```
data_Sm3YSb2
_chemical_formula_sum 'Sm3 Y1 Sb2'
_symmetry_space_group_name_H-M 'P 1'
_symmetry_Int_Tables_number 1
_symmetry_space_group_name_Hall 'P 1'
_cell_length_a 4.543
_cell_length_b 4.543
_cell_length_c 8.672
_cell_angle_alpha 90.00
_cell_angle_beta 90.00
_cell_angle_gamma 90.00
loop_
_atom_site_label
_atom_site_fract_x
_atom_site_fract_y
_atom_site_fract_z
_atom_site_occupancy
Sm1 0.500 0.000 0.353 1
Sm2 0.000 0.500 0.647 1
Sm3 0.000 0.000 0.000 1
Y1 0.500 0.500 0.000 1
Sb1 0.500 0.000 0.723 1
Sb2 0.000 0.500 0.277 1
```